Computed, not measured: an optimized crystal structure of Zn15Pd at the PBE-GGA level of DFT.

Lattice parameters (Å, degrees): 5.4437 5.4437 9.1983 90.00 90.00 120.00
Last column: nearest neighbours and their distance in Å.
Positions (direct):
Zn  0.0000  0.0000  0.5000  12 Zn 2.72-2.82
Zn  0.0030  0.5015  0.0000  10 Zn 2.70-2.81, 2 Pd 2.72
Zn  0.9982  0.4991  0.5000  12 Zn 2.71-2.81
Zn  0.4985  0.9970  0.0000  10 Zn 2.70-2.81, 2 Pd 2.72
Zn  0.5009  0.0018  0.5000  12 Zn 2.71-2.81
Zn  0.4985  0.5015  0.0000  10 Zn 2.70-2.81, 2 Pd 2.72
Zn  0.5009  0.4991  0.5000  12 Zn 2.71-2.81
Zn  0.8335  0.1665  0.2459  11 Zn 2.72-2.82, 1 Pd 2.75
Zn  0.8335  0.1665  0.7541  11 Zn 2.72-2.82, 1 Pd 2.75
Zn  0.8335  0.6670  0.2459  11 Zn 2.72-2.82, 1 Pd 2.75
Zn  0.8335  0.6670  0.7541  11 Zn 2.72-2.82, 1 Pd 2.75
Zn  0.3330  0.1665  0.2459  11 Zn 2.72-2.82, 1 Pd 2.75
Zn  0.3330  0.1665  0.7541  11 Zn 2.72-2.82, 1 Pd 2.75
Zn  0.3333  0.6667  0.2543  12 Zn 2.72-2.81
Zn  0.3333  0.6667  0.7457  12 Zn 2.72-2.81
Pd  0.0000  0.0000  0.0000  12 Zn 2.72-2.75

Total DFT energy (no corrections): -1.620 eV/atom
Energy relative to the elements: -0.1016 eV per atom
M_tot: 0.000 Bohr magnetons per cell